[1]
Ba2NaMgTl6 | the Alexandria database | GGA-PBE | relaxed; space group = Fm-3m, No. 225
1.0
0.0000 5.6382 5.6382
5.6382 0.0000 5.6382
5.6382 5.6382 0.0000
Ba Na Mg Tl
2 1 1 6
direct
0.2500 0.2500 0.2500
0.7500 0.7500 0.7500
0.0000 0.0000 0.0000
0.5000 0.5000 0.5000
0.2536 0.2536 0.7464
0.2536 0.7464 0.2536
0.2536 0.7464 0.7464
0.7464 0.2536 0.2536
0.7464 0.2536 0.7464
0.7464 0.7464 0.2536


[2]
BaNaY2Mg | the Alexandria database | GGA-PBE | relaxed; space group = P4/mmm, No. 123
1.0
5.8869 0.0000 0.0000
0.0000 5.8869 0.0000
0.0000 0.0000 6.5487
Ba Na Y Mg
1 1 2 1
direct
0.0000 0.0000 0.0000
0.5000 0.5000 0.0000
0.0000 0.5000 0.5000
0.5000 0.0000 0.5000
0.0000 0.0000 0.5000


[3]
BaNaMgZn | the Alexandria database | GGA-PBE | relaxed; space group = F-43m, No. 216
1.0
0.0000 3.9241 3.9241
3.9241 0.0000 3.9241
3.9241 3.9241 0.0000
Ba Na Mg Zn
1 1 1 1
direct
0.0000 0.0000 0.0000
0.2500 0.2500 0.2500
0.5000 0.5000 0.5000
0.7500 0.7500 0.7500


[4]
BaNaMg2Zn | the Alexandria database | GGA-PBE | relaxed; space group = P4/mmm, No. 123
1.0
5.2818 0.0000 0.0000
0.0000 5.2818 0.0000
0.0000 0.0000 5.6526
Ba Na Mg Zn
1 1 2 1
direct
0.0000 0.0000 0.0000
0.5000 0.5000 0.0000
0.0000 0.5000 0.5000
0.5000 0.0000 0.5000
0.5000 0.5000 0.5000


[5]
BaNa2MgZn | the Alexandria database | GGA-PBE | relaxed; space group = P4/mmm, No. 123
1.0
5.7244 0.0000 0.0000
0.0000 5.7244 0.0000
0.0000 0.0000 5.3394
Ba Na Mg Zn
1 2 1 1
direct
0.0000 0.0000 0.0000
0.0000 0.5000 0.5000
0.5000 0.0000 0.5000
0.5000 0.5000 0.0000
0.5000 0.5000 0.5000


[6]
BaMg3Nb | the Alexandria database | GGA-PBE | relaxed; ΔE to the lowest computed polymorph = 0.0 meV/atom; space group = Pm-3m, No. 221
1.0
5.5330 0.0000 0.0000
0.0000 5.5330 0.0000
0.0000 0.0000 5.5330
Ba Mg Nb
1 3 1
direct
0.0000 0.0000 0.0000
0.0000 0.5000 0.5000
0.5000 0.0000 0.5000
0.5000 0.5000 0.0000
0.5000 0.5000 0.5000


[7]
BaMg2Nb | the Alexandria database | GGA-PBE | relaxed; space group = I-42d, No. 122
1.0
-2.5830 2.5830 10.6380
2.5830 -2.5830 10.6380
2.5830 2.5830 -10.6380
Ba Mg Nb
2 4 2
direct
0.0000 0.0000 0.0000
0.7500 0.2500 0.5000
0.2620 0.6250 0.1370
0.3750 0.5120 0.6370
0.4880 0.1250 0.8630
0.8750 0.7380 0.3630
0.2500 0.7500 0.5000
0.5000 0.5000 0.0000


[8]
BaMg6Nb | the Alexandria database | GGA-PBE | relaxed; ΔE to the lowest computed polymorph = 23.5 meV/atom; space group = P-6m2, No. 187
1.0
6.5931 0.0000 0.0000
-3.2965 5.7098 0.0000
0.0000 0.0000 5.2202
Ba Mg Nb
1 6 1
direct
0.0000 0.0000 0.0000
0.0294 0.5147 0.0000
0.3527 0.1763 0.5000
0.4853 0.5147 0.0000
0.4853 0.9706 0.0000
0.8237 0.1763 0.5000
0.8237 0.6473 0.5000
0.3333 0.6667 0.5000


[9]
BaMg3Nb | the Alexandria database | GGA-PBE | relaxed; ΔE to the lowest computed polymorph = 1394.0 meV/atom; space group = Pm-3m, No. 221
1.0
5.5337 0.0000 0.0000
0.0000 5.5337 0.0000
0.0000 0.0000 5.5337
Ba Mg Nb
1 3 1
direct
0.0000 0.0000 0.0000
0.0000 0.0000 0.5000
0.0000 0.5000 0.0000
0.5000 0.0000 0.0000
0.5000 0.5000 0.5000


[10]
BaMgNb2 | the Alexandria database | GGA-PBE | relaxed; space group = I-42d, No. 122
1.0
-2.1458 2.1458 10.8104
2.1458 -2.1458 10.8104
2.1458 2.1458 -10.8104
Ba Mg Nb
2 2 4
direct
0.0000 0.0000 0.0000
0.7500 0.2500 0.5000
0.2500 0.7500 0.5000
0.5000 0.5000 0.0000
0.1549 0.6250 0.0299
0.3750 0.4049 0.5299
0.5951 0.1250 0.9701
0.8750 0.8451 0.4701


[11]
BaMg14Nb | the Alexandria database | GGA-PBE | relaxed; ΔE to the lowest computed polymorph = 0.0 meV/atom; space group = P-6m2, No. 187
1.0
6.5627 0.0000 0.0000
-3.2814 5.6835 0.0000
0.0000 0.0000 10.4304
Ba Mg Nb
1 14 1
direct
0.0000 0.0000 0.0000
0.0175 0.5087 0.0000
0.1664 0.3328 0.2720
0.1664 0.3328 0.7280
0.1664 0.8336 0.2720
0.1664 0.8336 0.7280
0.4913 0.5087 0.0000
0.4913 0.9825 0.0000
0.5036 0.0072 0.5000
0.5036 0.4964 0.5000
0.6667 0.3333 0.2381
0.6667 0.3333 0.7619
0.6672 0.8336 0.2720
0.6672 0.8336 0.7280
0.9928 0.4964 0.5000
0.0000 0.0000 0.5000


[12]
BaMg6Nb | the Alexandria database | GGA-PBE | relaxed; ΔE to the lowest computed polymorph = 0.0 meV/atom; space group = P4/mmm, No. 123
1.0
6.9600 0.0000 0.0000
0.0000 6.9600 0.0000
0.0000 0.0000 4.2562
Ba Mg Nb
1 6 1
direct
0.0000 0.0000 0.0000
0.0000 0.5000 0.0000
0.2850 0.2850 0.5000
0.2850 0.7150 0.5000
0.5000 0.0000 0.0000
0.7150 0.2850 0.5000
0.7150 0.7150 0.5000
0.5000 0.5000 0.0000


[13]
BaMg14Nb | the Alexandria database | GGA-PBE | relaxed; ΔE to the lowest computed polymorph = 10.8 meV/atom; space group = Amm2, No. 38
1.0
10.6385 0.0000 0.0000
0.0000 3.1973 5.6991
0.0000 -3.1973 5.6991
Ba Mg Nb
1 14 1
direct
0.0000 0.0000 0.0000
0.0000 0.4975 0.9801
0.0000 0.9801 0.4975
0.2329 0.6282 0.6282
0.2528 0.1449 0.6281
0.2528 0.6281 0.1449
0.2745 0.1448 0.1448
0.5000 0.4703 0.4703
0.5000 0.4812 0.9652
0.5000 0.9652 0.4812
0.5000 0.9700 0.9700
0.7255 0.1448 0.1448
0.7472 0.1449 0.6281
0.7472 0.6281 0.1449
0.7671 0.6282 0.6282
0.0000 0.4613 0.4613


[14]
Ba3MgNb | the Alexandria database | GGA-PBE | relaxed; ΔE to the lowest computed polymorph = 0.0 meV/atom; space group = Pm-3m, No. 221
1.0
6.1494 0.0000 0.0000
0.0000 6.1494 0.0000
0.0000 0.0000 6.1494
Ba Mg Nb
3 1 1
direct
0.0000 0.0000 0.5000
0.0000 0.5000 0.0000
0.5000 0.0000 0.0000
0.5000 0.5000 0.5000
0.0000 0.0000 0.0000


[15]
BaMg2NbNi | the Alexandria database | GGA-PBE | relaxed; ΔE to the lowest computed polymorph = 1901.3 meV/atom; space group = P4/mmm, No. 123
1.0
5.6121 0.0000 0.0000
0.0000 5.6121 0.0000
0.0000 0.0000 5.2080
Ba Mg Nb Ni
1 2 1 1
direct
0.0000 0.0000 0.0000
0.0000 0.5000 0.0000
0.5000 0.0000 0.0000
0.0000 0.0000 0.5000
0.5000 0.5000 0.5000


[16]
BaMg2NbNi | the Alexandria database | GGA-PBE | relaxed; ΔE to the lowest computed polymorph = 0.0 meV/atom; space group = P4/mmm, No. 123
1.0
5.0989 0.0000 0.0000
0.0000 5.0989 0.0000
0.0000 0.0000 4.8501
Ba Mg Nb Ni
1 2 1 1
direct
0.0000 0.0000 0.0000
0.0000 0.5000 0.5000
0.5000 0.0000 0.5000
0.5000 0.5000 0.0000
0.5000 0.5000 0.5000


[17]
Ba3Mg2NbO8 | the Alexandria database | GGA-PBE | relaxed; space group = P-3m1, No. 164; energy relative to the elements, uncorrected = -35.18 eV per formula unit
1.0
5.8882 0.0000 0.0000
-2.9441 5.0993 0.0000
0.0000 0.0000 7.6427
Ba Mg Nb O
3 2 1 8
direct
0.0000 0.0000 0.0000
0.3333 0.6667 0.6484
0.6667 0.3333 0.3516
0.3333 0.6667 0.2290
0.6667 0.3333 0.7710
0.0000 0.0000 0.5000
0.1597 0.3194 0.3419
0.1597 0.8403 0.3419
0.3194 0.1597 0.6581
0.3333 0.6667 0.9790
0.6667 0.3333 0.0210
0.6806 0.8403 0.3419
0.8403 0.1597 0.6581
0.8403 0.6806 0.6581


[18]
BaMgNbO2 | the Alexandria database | GGA-PBE | relaxed; space group = P4/mmm, No. 123; energy relative to the elements, uncorrected = 1.56 eV per formula unit
1.0
4.1496 0.0000 0.0000
0.0000 4.1496 0.0000
0.0000 0.0000 5.3259
Ba Mg Nb O
1 1 1 2
direct
0.0000 0.0000 0.0000
0.0000 0.0000 0.5000
0.5000 0.5000 0.0000
0.0000 0.5000 0.5000
0.5000 0.0000 0.5000


[19]
Ba3MgTaNbO9 | the Alexandria database | GGA-PBE | relaxed; space group = P3m1, No. 156; energy relative to the elements, uncorrected = -43.89 eV per formula unit
1.0
5.8525 0.0000 0.0000
-2.9263 5.0684 0.0000
0.0000 0.0000 7.1854
Ba Mg Ta Nb O
3 1 1 1 9
direct
0.0000 0.0000 0.0000
0.3333 0.6667 0.6639
0.6667 0.3333 0.3316
0.0000 0.0000 0.4960
0.3333 0.6667 0.1761
0.6667 0.3333 0.8199
0.0024 0.5012 0.0007
0.1721 0.3441 0.3249
0.1721 0.8279 0.3249
0.3426 0.1713 0.6739
0.4988 0.5012 0.0007
0.4988 0.9976 0.0007
0.6559 0.8279 0.3249
0.8287 0.1713 0.6739
0.8287 0.6574 0.6739


[20]
Ba2MgNbSb | the Alexandria database | GGA-PBE | relaxed; space group = P4/mmm, No. 123; energy relative to the elements, uncorrected = 2.98 eV per formula unit
1.0
6.6635 0.0000 0.0000
0.0000 6.6635 0.0000
0.0000 0.0000 5.2875
Ba Mg Nb Sb
2 1 1 1
direct
0.0000 0.5000 0.0000
0.5000 0.0000 0.0000
0.0000 0.0000 0.5000
0.5000 0.5000 0.5000
0.0000 0.0000 0.0000


[21]
BaMgNb2Se | the Alexandria database | GGA-PBE | relaxed; space group = P4/mmm, No. 123; energy relative to the elements, uncorrected = 2.55 eV per formula unit
1.0
4.9137 0.0000 0.0000
0.0000 4.9137 0.0000
0.0000 0.0000 5.9710
Ba Mg Nb Se
1 1 2 1
direct
0.0000 0.0000 0.0000
0.5000 0.5000 0.0000
0.0000 0.5000 0.5000
0.5000 0.0000 0.5000
0.0000 0.0000 0.5000


[22]
BaMg2NbSe | the Alexandria database | GGA-PBE | relaxed; space group = P4/mmm, No. 123; energy relative to the elements, uncorrected = 8.63 eV per formula unit
1.0
5.9184 0.0000 0.0000
0.0000 5.9184 0.0000
0.0000 0.0000 5.3014
Ba Mg Nb Se
1 2 1 1
direct
0.0000 0.0000 0.0000
0.0000 0.5000 0.0000
0.5000 0.0000 0.0000
0.0000 0.0000 0.5000
0.5000 0.5000 0.5000


[23]
BaMg2NbTc | the Alexandria database | GGA-PBE | relaxed; space group = P4/mmm, No. 123
1.0
5.3654 0.0000 0.0000
0.0000 5.3654 0.0000
0.0000 0.0000 4.7611
Ba Mg Nb Tc
1 2 1 1
direct
0.0000 0.0000 0.0000
0.0000 0.5000 0.5000
0.5000 0.0000 0.5000
0.5000 0.5000 0.0000
0.5000 0.5000 0.5000


[24]
Ba2MgNbTl | the Alexandria database | GGA-PBE | relaxed; space group = P4/mmm, No. 123
1.0
6.0730 0.0000 0.0000
0.0000 6.0730 0.0000
0.0000 0.0000 5.5561
Ba Mg Nb Tl
2 1 1 1
direct
0.0000 0.5000 0.0000
0.5000 0.0000 0.0000
0.0000 0.0000 0.5000
0.5000 0.5000 0.0000
0.5000 0.5000 0.5000


[25]
BaMgNb2W | the Alexandria database | GGA-PBE | relaxed; space group = P4/mmm, No. 123
1.0
5.0507 0.0000 0.0000
0.0000 5.0507 0.0000
0.0000 0.0000 5.0138
Ba Mg Nb W
1 1 2 1
direct
0.0000 0.0000 0.0000
0.0000 0.0000 0.5000
0.0000 0.5000 0.0000
0.5000 0.0000 0.0000
0.5000 0.5000 0.5000


Number 1: total magnetization 0.00 μB per atom, final energy -21.473 eV per cell. Number 2: total magnetization 0.25 μB per atom, final energy -14.987 eV per cell. Number 3: total magnetization 0.00 μB per atom, final energy -6.079 eV per cell. Number 4: total magnetization 0.00 μB per atom, final energy -7.490 eV per cell. Number 5: total magnetization 0.00 μB per atom, final energy -6.976 eV per cell. Number 6: total magnetization 0.65 μB per atom, final energy -13.926 eV per cell. Number 7: total magnetization 0.85 μB per atom, final energy -23.363 eV per cell. Number 8: total magnetization 0.05 μB per atom, final energy -19.722 eV per cell. Number 9: total magnetization 0.00 μB per atom, final energy -6.956 eV per cell. Number 10: total magnetization 0.00 μB per atom, final energy -38.684 eV per cell. Number 11: total magnetization 0.00 μB per atom, final energy -31.915 eV per cell. Number 12: total magnetization 0.25 μB per atom, final energy -19.910 eV per cell. Number 13: total magnetization 0.07 μB per atom, final energy -31.742 eV per cell. Number 14: total magnetization 0.00 μB per atom, final energy -13.846 eV per cell. Number 15: total magnetization 0.01 μB per atom, final energy -9.865 eV per cell. Number 16: total magnetization 0.38 μB per atom, final energy -19.372 eV per cell. Number 17: total magnetization 0.08 μB per atom, final energy -93.871 eV per cell. Number 18: total magnetization 0.51 μB per atom, final energy -21.947 eV per cell. Number 19: total magnetization 0.00 μB per atom, final energy -117.796 eV per cell. Number 20: total magnetization 1.06 μB per atom, final energy -16.655 eV per cell. Number 21: total magnetization 0.01 μB per atom, final energy -24.596 eV per cell. Number 22: total magnetization 0.29 μB per atom, final energy -10.036 eV per cell. Number 23: total magnetization 0.11 μB per atom, final energy -23.558 eV per cell. Number 24: total magnetization 0.00 μB per atom, final energy -14.766 eV per cell. Number 25: total magnetization 0.00 μB per atom, final energy -21.801 eV per cell.